## SmAl3Pt (PBE)

Data for a relaxed structure of SmAl3Pt.

Properties
For the raw total energy, the calculation gives -0.3852 Ry per atom. The total magnetization comes out at 0.001 μB/atom.

a = 4.2853 Å, b = 4.2853 Å, c = 10.7485 Å
α = 90.00°, β = 90.00°, γ = 90.00°
Last column: nearest neighbours and their distance in Å.
Space group I4mm (No. 107)
One atom of each set of equivalent atoms:
Sm1 0.0000 0.0000 0.0000 [2 per cell]  12 Al 3.17-3.49, 4 Pt 3.38
Al1 0.0000 0.0000 0.4133 [2 per cell]  1 Pt 2.43
Al2 0.0000 0.5000 0.2568 [4 per cell]  2 Pt 2.49, 2 Al 2.72
Pt1 0.0000 0.0000 0.6396 [2 per cell]  5 Al 2.43-2.49



## LuNb2Ir (PBE)

Data for a relaxed structure of LuNb2Ir.

Properties
For the formation energy, the calculation gives -19.4 kJ/mol of atoms. For the raw total energy, the calculation gives -0.6315 Ry per atom. The total magnetization comes out at 0.008 μB/atom.

a = 6.6280 Å, b = 6.6280 Å, c = 6.6280 Å
α = 90.00°, β = 90.00°, γ = 90.00°
Last column: nearest neighbours and their distance in Å.
Space group F-43m (No. 216)
One atom of each set of equivalent atoms:
Lu1 0.0000 0.0000 0.0000 [4 per cell]  4 Nb 2.87, 4 Ir 2.87
Nb1 0.0000 0.0000 0.5000 [4 per cell]  4 Nb 2.87, 4 Ir 2.87
Nb2 0.2500 0.2500 0.2500 [4 per cell]  4 Nb 2.87, 4 Lu 2.87
Ir1 0.2500 0.2500 0.7500 [4 per cell]  4 Nb 2.87, 4 Lu 2.87



## NpBeGe (PBE)

Data for a relaxed structure of NpBeGe.

Properties
For the raw total energy, the calculation gives -0.5097 Ry per atom. The total magnetization comes out at 1.462 μB/atom.

a = 6.0402 Å, b = 6.0402 Å, c = 6.0402 Å
α = 90.00°, β = 90.00°, γ = 90.00°
Last column: nearest neighbours and their distance in Å.
Space group F-43m (No. 216)
One atom of each set of equivalent atoms:
Np1 0.0000 0.0000 0.0000 [4 per cell]  4 Be 2.62
Be1 0.2500 0.2500 0.7500 [4 per cell]  4 Ge 2.62, 4 Np 2.62
Ge1 0.0000 0.0000 0.5000 [4 per cell]  4 Be 2.62



## PuNbTl (PBE)

Data for a relaxed structure of PuNbTl.

Properties
For the raw total energy, the calculation gives -0.5975 Ry per atom. The total magnetization comes out at 1.573 μB/atom.

a = 6.6839 Å, b = 6.6839 Å, c = 6.6839 Å
α = 90.00°, β = 90.00°, γ = 90.00°
Last column: nearest neighbours and their distance in Å.
Space group F-43m (No. 216)
One atom of each set of equivalent atoms:
Pu1 0.0000 0.0000 0.0000 [4 per cell]  4 Nb 2.89
Nb1 0.2500 0.2500 0.2500 [4 per cell]  4 Tl 2.89, 4 Pu 2.89
Tl1 0.0000 0.0000 0.5000 [4 per cell]  4 Nb 2.89



## RbCu3SnS4 (PBE)

Data for a relaxed structure of RbCu3SnS4.

Properties
For the raw total energy, the calculation gives -0.2834 Ry per atom.

a = 6.1097 Å, b = 6.1097 Å, c = 6.1097 Å
α = 90.00°, β = 90.00°, γ = 90.00°
Last column: nearest neighbours and their distance in Å.
Space group P-43m (No. 215)
One atom of each set of equivalent atoms:
Rb1 0.0000 0.0000 0.0000 [1 per cell]  4 S 2.93
Cu1 0.0000 0.5000 0.5000 [3 per cell]  4 S 2.56
Sn1 0.5000 0.5000 0.5000 [1 per cell]  4 S 2.36
S1 0.2772 0.2772 0.2772 [4 per cell]  1 Sn 2.36, 3 Cu 2.56



## Dy3Mg3InGa2 (PBE)

Data for a relaxed structure of Dy3Mg3InGa2.

Properties
For the raw total energy, the calculation gives -0.2564 Ry per atom. The total magnetization comes out at 0.000 μB/atom.

a = 7.3231 Å, b = 7.3231 Å, c = 4.5552 Å
α = 90.00°, β = 90.00°, γ = 120.00°
Last column: nearest neighbours and their distance in Å.
Space group P-62m (No. 189)
One atom of each set of equivalent atoms:
Dy1 0.0000 0.5617 0.0000 [3 per cell]  4 Ga 3.14, 1 In 3.21, 2 Mg 3.23
Mg1 0.0000 0.2495 0.5000 [3 per cell]  2 Ga 2.80, 2 In 2.92
In1 0.0000 0.0000 0.0000 [1 per cell]  6 Mg 2.92, 3 Dy 3.21
Ga1 0.3333 0.6667 0.5000 [2 per cell]  3 Mg 2.80



## LiMgAgHg (PBE)

Data for a relaxed structure of LiMgAgHg.

Properties
For the raw total energy, the calculation gives -0.1415 Ry per atom.

a = 6.6519 Å, b = 6.6519 Å, c = 6.6519 Å
α = 90.00°, β = 90.00°, γ = 90.00°
Last column: nearest neighbours and their distance in Å.
Space group F-43m (No. 216)
One atom of each set of equivalent atoms:
Li1 0.0000 0.0000 0.0000 [4 per cell]  4 Hg 2.88, 4 Ag 2.88
Mg1 0.0000 0.0000 0.5000 [4 per cell]  4 Hg 2.88, 4 Ag 2.88
Ag1 0.2500 0.2500 0.2500 [4 per cell]  4 Li 2.88, 4 Mg 2.88
Hg1 0.2500 0.2500 0.7500 [4 per cell]  4 Li 2.88, 4 Mg 2.88



## Sr2Ga4PdAu (PBE)

Data for a relaxed structure of Sr2Ga4PdAu.

Properties
For the raw total energy, the calculation gives -0.2625 Ry per atom.

a = 7.3449 Å, b = 4.3267 Å, c = 11.3262 Å
α = 90.00°, β = 90.00°, γ = 90.00°
Last column: nearest neighbours and their distance in Å.
Space group Amm2 (No. 38)
One atom of each set of equivalent atoms:
Sr1 0.0000 0.0000 0.0000 [2 per cell]  3 Au 3.18-3.30, 6 Ga 3.35-3.51
Sr2 0.5000 0.0000 0.1181 [2 per cell]  3 Pd 3.14-3.32, 6 Ga 3.30-3.50
Ga1 0.1973 0.0000 0.7175 [4 per cell]  1 Pd 2.63, 2 Au 2.70, 1 Ga 2.90
Ga2 0.3144 0.0000 0.4027 [4 per cell]  2 Pd 2.65, 1 Au 2.69, 1 Ga 2.73
Pd1 0.5000 0.0000 0.8410 [2 per cell]  6 Ga 2.63-2.65
Au1 0.0000 0.0000 0.2803 [2 per cell]  6 Ga 2.69-2.70



## TbGdSi2Pt4 (PBE)

Data for a relaxed structure of TbGdSi2Pt4.

Properties
For the raw total energy, the calculation gives -0.4917 Ry per atom. The total magnetization comes out at 0.000 μB/atom.

a = 7.0945 Å, b = 3.9190 Å, c = 10.2121 Å
α = 90.00°, β = 90.00°, γ = 90.00°
Last column: nearest neighbours and their distance in Å.
Space group Amm2 (No. 38)
One atom of each set of equivalent atoms:
Tb1 0.0000 0.0000 0.0000 [2 per cell]  3 Si 2.89-2.96, 8 Pt 3.04-3.15
Gd1 0.5000 0.0000 0.8934 [2 per cell]  3 Si 2.89-2.96, 8 Pt 3.04-3.15
Si1 0.0000 0.0000 0.7171 [2 per cell]  6 Pt 2.48-2.57
Si2 0.5000 0.0000 0.1764 [2 per cell]  6 Pt 2.49-2.57
Pt1 0.1997 0.0000 0.3023 [4 per cell]  3 Si 2.49-2.57
Pt2 0.2996 0.0000 0.5912 [4 per cell]  3 Si 2.48-2.57



## Na4AsPt2N (PBE)

Data for a relaxed structure of Na4AsPt2N.

Properties
For the raw total energy, the calculation gives -0.2960 Ry per atom. The total magnetization comes out at 0.108 μB/atom.

a = 5.5123 Å, b = 8.5474 Å, c = 6.6120 Å
α = 90.00°, β = 90.00°, γ = 90.00°
Last column: nearest neighbours and their distance in Å.
Space group Amm2 (No. 38)
One atom of each set of equivalent atoms:
Na1 0.0000 0.1812 0.0000 [4 per cell]  2 As 2.86-2.88, 2 Pt 2.99, 1 Na 3.10
Na2 0.5000 0.1819 0.7023 [4 per cell]  2 N 2.79-3.08, 1 Na 3.11
As1 0.0000 0.0000 0.6323 [2 per cell]  2 Pt 2.47
Pt1 0.2538 0.0000 0.3249 [4 per cell]  1 N 1.99
N1 0.5000 0.0000 0.1046 [2 per cell]  2 Pt 1.99



## Lu2Zn17 (PBE)

Data for a relaxed structure of Lu2Zn17.

Properties
For the formation energy, the calculation gives -19.3 kJ/mol of atoms. For the raw total energy, the calculation gives -0.1328 Ry per atom. The total magnetization comes out at 0.000 μB/atom.

a = 8.8896 Å, b = 8.8896 Å, c = 8.6977 Å
α = 90.00°, β = 90.00°, γ = 120.00°
Last column: nearest neighbours and their distance in Å.
Space group P6_3/mmc (No. 194)
One atom of each set of equivalent atoms:
Lu1 0.0000 0.0000 0.2500 [2 per cell]  18 Zn 3.08-3.42
Lu2 0.3333 0.6667 0.2500 [2 per cell]  20 Zn 3.05-3.36
Zn1 0.0000 0.5000 0.0000 [6 per cell]  10 Zn 2.59-2.71
Zn2 0.0339 0.3624 0.7500 [12 per cell]  8 Zn 2.59-2.75
Zn3 0.1615 0.3230 0.0201 [12 per cell]  8 Zn 2.51-2.71
Zn4 0.3333 0.6667 0.6001 [4 per cell]  7 Zn 2.61-2.84



## KDyFeTe3 (PBE)

Data for a relaxed structure of KDyFeTe3.

Properties
For the raw total energy, the calculation gives -0.3504 Ry per atom. The total magnetization comes out at 0.665 μB/atom.

a = 4.3578 Å, b = 15.9122 Å, c = 11.4466 Å
α = 90.00°, β = 90.00°, γ = 90.00°
Last column: nearest neighbours and their distance in Å.
Space group Cmcm (No. 63)
One atom of each set of equivalent atoms:
K1 0.0000 0.2500 0.2500 [4 per cell]  6 Te 3.60
Dy1 0.0000 0.0000 0.0000 [4 per cell]  6 Te 3.07
Fe1 0.0000 0.4692 0.7500 [4 per cell]  4 Te 2.62-2.70
Te1 0.0000 0.0698 0.7500 [4 per cell]  2 Fe 2.70
Te2 0.0000 0.3721 0.5654 [8 per cell]  1 Fe 2.62



> Which of these has the lowest raw total energy?

LuNb2Ir